CsCdTe3Ir PBE optimized geometry; calculated total energy = -3.67 eV per atom
1.0
2.118 -8.520 0.000
2.118 8.520 0.000
0.000 0.000 11.084
Cs Cd Te Ir
2 2 6 2
direct
0.241 0.759 0.750
0.759 0.241 0.250
0.451 0.549 0.250
0.549 0.451 0.750
0.061 0.939 0.250
0.397 0.603 0.015
0.397 0.603 0.485
0.603 0.397 0.515
0.603 0.397 0.985
0.939 0.061 0.750
0.000 0.000 0.000
0.000 0.000 0.500

***

CsKCd PBE optimized geometry; offset from the most stable computed form = 0.1670 eV/atom
1.0
0.000 4.583 4.583
4.583 0.000 4.583
4.583 4.583 0.000
Cs K Cd
1 1 1
direct
0.000 0.000 0.000
0.250 0.250 0.250
0.750 0.750 0.750

***

CsKCd PBE optimized geometry; offset from the most stable computed form = 0.0000 eV/atom
1.0
0.000 4.515 4.515
4.515 0.000 4.515
4.515 4.515 0.000
Cs K Cd
1 1 1
direct
0.000 0.000 0.000
0.500 0.500 0.500
0.250 0.250 0.250

***

Cs2K2Cd3O5 PBE optimized geometry; calculated total energy = -3.73 eV per atom
1.0
6.563 0.000 0.000
2.883 8.731 0.000
2.569 3.153 8.476
Cs K Cd O
4 4 6 10
direct
0.058 0.079 0.151
0.391 0.208 0.752
0.609 0.792 0.248
0.942 0.921 0.849
0.058 0.448 0.195
0.243 0.070 0.481
0.757 0.930 0.519
0.942 0.552 0.805
0.127 0.642 0.407
0.403 0.685 0.997
0.432 0.670 0.672
0.568 0.330 0.328
0.597 0.315 0.003
0.873 0.358 0.593
0.104 0.756 0.153
0.180 0.787 0.520
0.233 0.376 0.463
0.314 0.496 0.906
0.438 0.870 0.759
0.562 0.130 0.241
0.686 0.504 0.094
0.767 0.624 0.537
0.820 0.213 0.480
0.896 0.244 0.847

***

CsK3Cd2Pb2 PBE optimized geometry; calculated total energy = -1.85 eV per atom
1.0
7.060 0.000 0.000
0.000 6.713 0.000
-1.825 0.000 7.030
Cs K Cd Pb
1 3 2 2
direct
0.000 0.000 0.000
0.057 0.500 0.359
0.350 0.000 0.654
0.702 0.500 0.699
0.534 0.251 0.177
0.534 0.749 0.177
0.263 0.500 0.907
0.788 0.000 0.460

***

Cs3KCd2Pb2 PBE optimized geometry; calculated total energy = -1.79 eV per atom
1.0
7.357 0.000 0.000
0.000 7.032 0.000
-2.115 0.000 7.203
Cs K Cd Pb
3 1 2 2
direct
0.000 0.000 0.000
0.052 0.500 0.360
0.351 0.000 0.665
0.704 0.500 0.700
0.526 0.250 0.188
0.526 0.750 0.188
0.285 0.500 0.913
0.787 0.000 0.445

***

Cs3KCd2Sn2 PBE optimized geometry; calculated total energy = -1.90 eV per atom
1.0
7.289 0.000 0.000
0.000 6.952 0.000
-2.108 0.000 7.121
Cs K Cd Sn
3 1 2 2
direct
0.000 0.000 0.000
0.056 0.500 0.367
0.707 0.500 0.699
0.346 0.000 0.663
0.527 0.250 0.175
0.527 0.750 0.175
0.275 0.500 0.924
0.759 0.000 0.443

***

CsKCdSn PBE optimized geometry; calculated total energy = -1.93 eV per atom
1.0
6.852 0.000 0.000
0.000 5.799 4.372
0.000 -5.799 4.372
Cs K Cd Sn
2 2 2 2
direct
0.000 0.171 0.829
0.000 0.829 0.171
0.500 0.125 0.466
0.500 0.466 0.125
0.250 0.643 0.643
0.750 0.643 0.643
0.000 0.388 0.388
0.500 0.900 0.900

***

CsLaCd PBE optimized geometry; calculated total energy = -1.66 eV per atom
1.0
0.000 3.904 3.904
3.904 0.000 3.904
3.904 3.904 0.000
Cs La Cd
1 1 1
direct
0.000 0.000 0.000
0.750 0.750 0.750
0.500 0.500 0.500

***

CsLaCd PBE optimized geometry; calculated total energy = -1.33 eV per atom
1.0
0.000 4.386 4.386
4.386 0.000 4.386
4.386 4.386 0.000
Cs La Cd
1 1 1
direct
0.000 0.000 0.000
0.250 0.250 0.250
0.750 0.750 0.750

***

CsLaCdTe3 PBE optimized geometry; calculated total energy = -3.86 eV per atom
1.0
2.337 -8.584 0.000
2.337 8.584 0.000
0.000 0.000 12.212
Cs La Cd Te
2 2 2 6
direct
0.249 0.751 0.750
0.751 0.249 0.250
0.500 0.500 0.000
0.500 0.500 0.500
0.036 0.964 0.250
0.964 0.036 0.750
0.126 0.874 0.055
0.126 0.874 0.445
0.434 0.566 0.250
0.566 0.434 0.750
0.874 0.126 0.555
0.874 0.126 0.945

***

CsLiCdP2O7 PBE optimized geometry; calculated total energy = -6.24 eV per atom
1.0
12.703 0.000 0.000
0.000 5.286 0.000
0.000 0.000 10.491
Cs Li Cd P O
4 4 4 8 28
direct
0.000 0.018 0.000
0.000 0.982 0.500
0.500 0.481 0.257
0.500 0.519 0.757
0.250 0.482 0.011
0.250 0.518 0.511
0.750 0.482 0.011
0.750 0.518 0.511
0.249 0.079 0.724
0.249 0.921 0.224
0.751 0.079 0.724
0.751 0.921 0.224
0.117 0.470 0.253
0.117 0.530 0.753
0.383 0.015 0.495
0.383 0.985 0.995
0.617 0.015 0.495
0.617 0.985 0.995
0.883 0.470 0.253
0.883 0.530 0.753
0.000 0.444 0.802
0.000 0.556 0.302
0.116 0.181 0.257
0.116 0.819 0.757
0.135 0.410 0.622
0.135 0.590 0.122
0.191 0.406 0.850
0.191 0.594 0.350
0.310 0.171 0.065
0.310 0.829 0.565
0.363 0.283 0.543
0.363 0.717 0.043
0.384 0.014 0.851
0.384 0.986 0.351
0.500 0.070 0.043
0.500 0.930 0.543
0.616 0.014 0.851
0.616 0.986 0.351
0.637 0.283 0.543
0.637 0.717 0.043
0.690 0.171 0.065
0.690 0.829 0.565
0.809 0.406 0.850
0.809 0.594 0.350
0.865 0.410 0.622
0.865 0.590 0.122
0.884 0.181 0.257
0.884 0.819 0.757